# TaMoP | Alexandria via LeMat-Bulk | PBE | optimized geometry
# SG   F-43m (216)
# Formation enthalpy at 0 K   0.48 eV/atom
# Spin magnetization   0.000 μB/atom
data_TaMoP
_cell_length_a 6.052
_cell_length_b 6.052
_cell_length_c 6.052
_cell_angle_alpha 90.00
_cell_angle_beta 90.00
_cell_angle_gamma 90.00
_space_group_name_H-M_alt 'P 1'
_space_group_IT_number 1
_space_group_name_Hall 'P 1'
loop_
_atom_site_label
_atom_site_type_symbol
_atom_site_fract_x
_atom_site_fract_y
_atom_site_fract_z
Ta1 Ta 0.000 0.000 0.000
Ta2 Ta 0.000 0.500 0.500
Ta3 Ta 0.500 0.000 0.500
Ta4 Ta 0.500 0.500 0.000
Mo1 Mo 0.250 0.250 0.250
Mo2 Mo 0.250 0.750 0.750
Mo3 Mo 0.750 0.250 0.750
Mo4 Mo 0.750 0.750 0.250
P1 P 0.250 0.250 0.750
P2 P 0.250 0.750 0.250
P3 P 0.750 0.250 0.250
P4 P 0.750 0.750 0.750

# NbPtN3 | Alexandria via LeMat-Bulk | PBE | optimized geometry
# SG   Pm-3m (221)
# Formation energy from raw total energies   1.42 eV/atom
# Spin magnetization   0.000 μB/atom
data_NbPtN3
_cell_length_a 3.861
_cell_length_b 3.861
_cell_length_c 3.861
_cell_angle_alpha 90.00
_cell_angle_beta 90.00
_cell_angle_gamma 90.00
_space_group_name_H-M_alt 'P 1'
_space_group_IT_number 1
_space_group_name_Hall 'P 1'
loop_
_atom_site_label
_atom_site_type_symbol
_atom_site_fract_x
_atom_site_fract_y
_atom_site_fract_z
Nb1 Nb 0.000 0.000 0.000
Pt1 Pt 0.500 0.500 0.500
N1 N 0.000 0.500 0.500
N2 N 0.500 0.000 0.500
N3 N 0.500 0.500 0.000

# KY2Pb | Alexandria via LeMat-Bulk | PBE | optimized geometry
# SG   Cm (8)
# Formation enthalpy at 0 K   0.12 eV/atom
# Spin magnetization   0.009 μB/atom
data_KY2Pb
_cell_length_a 11.242
_cell_length_b 3.547
_cell_length_c 7.304
_cell_angle_alpha 90.00
_cell_angle_beta 96.78
_cell_angle_gamma 90.00
_space_group_name_H-M_alt 'P 1'
_space_group_IT_number 1
_space_group_name_Hall 'P 1'
loop_
_atom_site_label
_atom_site_type_symbol
_atom_site_fract_x
_atom_site_fract_y
_atom_site_fract_z
K1 K 0.000 0.000 0.000
K2 K 0.500 0.500 0.000
Y1 Y 0.015 0.500 0.523
Y2 Y 0.271 0.500 0.334
Y3 Y 0.515 0.000 0.523
Y4 Y 0.771 0.000 0.334
Pb1 Pb 0.256 0.000 0.716
Pb2 Pb 0.756 0.500 0.716

# Rb4Pm3ZrS8 | Alexandria via LeMat-Bulk | PBE | optimized geometry
# SG   R-3m (166)
# Formation energy from raw total energies   -1.71 eV/atom
# Spin magnetization   0.000 μB/atom
data_Rb4Pm3ZrS8
_cell_length_a 9.048
_cell_length_b 9.048
_cell_length_c 9.048
_cell_angle_alpha 53.78
_cell_angle_beta 53.78
_cell_angle_gamma 53.78
_space_group_name_H-M_alt 'P 1'
_space_group_IT_number 1
_space_group_name_Hall 'P 1'
loop_
_atom_site_label
_atom_site_type_symbol
_atom_site_fract_x
_atom_site_fract_y
_atom_site_fract_z
Rb1 Rb 0.000 0.000 0.000
Rb2 Rb 0.000 0.500 0.500
Rb3 Rb 0.500 0.000 0.500
Rb4 Rb 0.500 0.500 0.000
Pm1 Pm 0.000 0.000 0.500
Pm2 Pm 0.000 0.500 0.000
Pm3 Pm 0.500 0.000 0.000
Zr1 Zr 0.500 0.500 0.500
S1 S 0.234 0.234 0.234
S2 S 0.250 0.721 0.721
S3 S 0.279 0.279 0.750
S4 S 0.279 0.750 0.279
S5 S 0.721 0.250 0.721
S6 S 0.721 0.721 0.250
S7 S 0.750 0.279 0.279
S8 S 0.766 0.766 0.766

What is the spin magnetization in the third record?
0.009 μB/atom